Density functional theory data (PBE-GGA) for a geometry-optimized LiCoAg3 structure.

Lattice parameters (Å, degrees): 4.8503 4.8503 4.8503 90.00 90.00 90.00
Space group Pm-3m (No. 221)
Symmetry-distinct sites (fractional):
Li: 0.0000 0.0000 0.0000 x1
Co: 0.5000 0.5000 0.5000 x1
Ag: 0.0000 0.5000 0.5000 x3

Properties
- Energy of formation: 0.668 eV per atom
- Calculated total energy: -14.23 eV per formula unit



Density functional theory data (PBE-GGA) for a geometry-optimized LaEuGaSi structure.

Lattice parameters (Å, degrees): 7.4225 7.4225 7.4225 90.00 90.00 90.00
Space group F-43m (No. 216)
Symmetry-distinct sites (fractional):
La: 0.0000 0.0000 0.0000 x4
Eu: 0.0000 0.0000 0.5000 x4
Ga: 0.2500 0.2500 0.7500 x4
Si: 0.2500 0.2500 0.2500 x4

Properties
- Calculated total energy: -25.50 eV per formula unit



no.,total moment (μB per atom),N(E_F) (states/eV per atom)
1,0.37,2.8474
2,1.76,0.8126